1.
# Li2DyIn (SCAN, PBEsol geometry)
# ΔE_f = -0.3728 eV per atom
data_Li2DyIn
_symmetry_space_group_name_H-M 'F m -3 m'
_symmetry_Int_Tables_number 225
_symmetry_space_group_name_Hall '-F 4 2 3'
_cell_length_a 6.7519
_cell_length_b 6.7519
_cell_length_c 6.7519
_cell_angle_alpha 90.00
_cell_angle_beta 90.00
_cell_angle_gamma 90.00
loop_
_atom_site_label
_atom_site_fract_x
_atom_site_fract_y
_atom_site_fract_z
Li1 0.2500 0.2500 0.2500
Dy1 0.0000 0.0000 0.0000
In1 0.0000 0.0000 0.5000


2.
# InSi3Cl (SCAN, PBEsol geometry)
# energy relative to the elements, uncorrected = 31.21 kcal/mol of atoms
data_InSi3Cl
_symmetry_space_group_name_H-M 'P m -3 m'
_symmetry_Int_Tables_number 221
_symmetry_space_group_name_Hall '-P 4 2 3'
_cell_length_a 5.1345
_cell_length_b 5.1345
_cell_length_c 5.1345
_cell_angle_alpha 90.00
_cell_angle_beta 90.00
_cell_angle_gamma 90.00
loop_
_atom_site_label
_atom_site_fract_x
_atom_site_fract_y
_atom_site_fract_z
In1 0.0000 0.0000 0.0000
Si1 0.0000 0.0000 0.5000
Cl1 0.5000 0.5000 0.5000


3.
# CsSnTeN2 (SCAN, PBEsol geometry)
# energy relative to the elements, uncorrected = 47.21 kcal/mol of atoms
data_CsSnTeN2
_symmetry_space_group_name_H-M 'P 4/m m m'
_symmetry_Int_Tables_number 123
_symmetry_space_group_name_Hall '-P 4 2'
_cell_length_a 4.5259
_cell_length_b 4.5259
_cell_length_c 7.1407
_cell_angle_alpha 90.00
_cell_angle_beta 90.00
_cell_angle_gamma 90.00
loop_
_atom_site_label
_atom_site_fract_x
_atom_site_fract_y
_atom_site_fract_z
Cs1 0.0000 0.0000 0.0000
Sn1 0.5000 0.5000 0.5000
Te1 0.0000 0.0000 0.5000
N1 0.0000 0.5000 0.0000


4.
# Cr3NiN (SCAN, PBEsol geometry)
# energy relative to the elements, uncorrected = -3.44 kcal/mol of atoms
data_Cr3NiN
_symmetry_space_group_name_H-M 'C m c m'
_symmetry_Int_Tables_number 63
_symmetry_space_group_name_Hall '-C 2c 2'
_cell_length_a 2.6968
_cell_length_b 9.4675
_cell_length_c 7.7950
_cell_angle_alpha 90.00
_cell_angle_beta 90.00
_cell_angle_gamma 90.00
loop_
_atom_site_label
_atom_site_fract_x
_atom_site_fract_y
_atom_site_fract_z
Cr1 0.0000 0.0210 0.2500
Cr2 0.0000 0.3637 0.0287
Ni1 0.0000 0.2515 0.7500
N1 0.0000 0.0000 0.0000


5.
# Ca2Te (SCAN, PBEsol geometry)
# energy relative to the elements, uncorrected = -21.51 kcal/mol of atoms
data_Ca2Te
_symmetry_space_group_name_H-M 'P n n m'
_symmetry_Int_Tables_number 58
_cell_length_a 7.1933
_cell_length_b 7.4520
_cell_length_c 4.1997
_cell_angle_alpha 90.00
_cell_angle_beta 90.00
_cell_angle_gamma 90.00
loop_
_symmetry_equiv_pos_as_xyz
'x,y,z'
'-x,-y,-z'
'-x,-y,z'
'x,y,-z'
'x+1/2,-y+1/2,-z+1/2'
'-x+1/2,y+1/2,z+1/2'
'-x+1/2,y+1/2,-z+1/2'
'x+1/2,-y+1/2,z+1/2'
loop_
_atom_site_label
_atom_site_fract_x
_atom_site_fract_y
_atom_site_fract_z
Ca1 0.2283 0.1538 0.0000
Te1 0.0000 0.5000 0.0000


6.
# Zr (SCAN, PBEsol geometry)
# energy above the lowest structure with this stoichiometry = 0.0 meV per atom
# ΔE_f = 0.0000 eV per atom
data_Zr
_symmetry_space_group_name_H-M 'P 6/m m m'
_symmetry_Int_Tables_number 191
_symmetry_space_group_name_Hall '-P 6 2'
_cell_length_a 4.9692
_cell_length_b 4.9692
_cell_length_c 3.1051
_cell_angle_alpha 90.00
_cell_angle_beta 90.00
_cell_angle_gamma 120.00
loop_
_atom_site_label
_atom_site_fract_x
_atom_site_fract_y
_atom_site_fract_z
Zr1 0.0000 0.0000 0.0000
Zr2 0.3333 0.6667 0.5000